Material: Te2PbBr
Method: DFT, GGA-PBE
State: optimized geometry

## Properties
The formation energy from raw total energies comes out at -0.38 eV per atom.

Geometry as CIF:
```
data_Te2PbBr
_chemical_formula_sum 'Te2 Pb1 Br1'
_symmetry_space_group_name_H-M 'P 1'
_symmetry_Int_Tables_number 1
_symmetry_space_group_name_Hall 'P 1'
_cell_length_a 4.490
_cell_length_b 4.342
_cell_length_c 7.815
_cell_angle_alpha 90.00
_cell_angle_beta 90.58
_cell_angle_gamma 90.00
loop_
_atom_site_label
_atom_site_type_symbol
_atom_site_fract_x
_atom_site_fract_y
_atom_site_fract_z
Te1 Te 0.000 0.000 0.000
Te2 Te 0.496 0.500 0.011
Pb1 Pb 0.647 0.000 0.337
Br1 Br 0.034 0.500 0.491
```